This record from Alexandria describes a relaxed structure of Pr6Pd2Pt. The functional is PBE-GGA.

Geometry as POSCAR:
```
Pr6Pd2Pt
1.0
6.821 0.000 0.059
0.000 7.589 0.000
-0.764 0.000 10.662
Pr Pd Pt
12 4 2
direct
0.840 0.955 0.242 Pr
0.340 0.545 0.742 Pr
0.338 0.813 0.428 Pr
0.828 0.670 0.574 Pr
0.662 0.187 0.572 Pr
0.660 0.455 0.258 Pr
0.160 0.045 0.758 Pr
0.328 0.830 0.074 Pr
0.172 0.330 0.426 Pr
0.162 0.313 0.072 Pr
0.672 0.170 0.926 Pr
0.838 0.687 0.928 Pr
0.562 0.883 0.730 Pd
0.938 0.383 0.770 Pd
0.062 0.617 0.230 Pd
0.438 0.117 0.270 Pd
0.000 0.000 0.500 Pt
0.500 0.500 0.000 Pt
```

The formation energy comes out at -5.0 eV per formula unit. The value obtained for the density of states at the Fermi level is 9.04 states/eV/f.u.

***

This record from Alexandria describes a relaxed structure of PrPd6Pt2. The functional is PBE-GGA.

Geometry as POSCAR:
```
PrPd6Pt2
1.0
8.185 0.000 0.000
4.092 7.088 0.000
4.092 2.363 6.683
Pt Pd Pr
4 12 2
direct
0.125 0.625 0.125 Pt
0.625 0.125 0.125 Pt
0.125 0.125 0.625 Pt
0.125 0.125 0.125 Pt
0.993 0.507 0.993 Pd
0.743 0.257 0.743 Pd
0.507 0.993 0.507 Pd
0.257 0.257 0.743 Pd
0.743 0.743 0.257 Pd
0.743 0.257 0.257 Pd
0.507 0.507 0.993 Pd
0.507 0.993 0.993 Pd
0.257 0.743 0.257 Pd
0.993 0.993 0.507 Pd
0.993 0.507 0.507 Pd
0.257 0.743 0.743 Pd
0.750 0.750 0.750 Pr
0.500 0.500 0.500 Pr
```

The formation energy comes out at 2.3 eV per formula unit. The value obtained for the density of states at the Fermi level is 12.67 states/eV/f.u.

***

This record from Alexandria describes a relaxed structure of PrPd4Pt2. The functional is PBE-GGA.

Geometry as POSCAR:
```
PrPd4Pt2
1.0
-5.046 3.729 -0.204
0.621 -6.188 -0.859
1.350 0.367 6.120
Pr Pd Pt
1 4 2
direct
0.000 0.000 0.000 Pr
0.279 0.500 0.779 Pd
0.500 0.721 0.221 Pd
0.721 0.500 0.221 Pd
0.500 0.279 0.779 Pd
0.250 0.750 0.500 Pt
0.750 0.250 0.500 Pt
```

The formation energy comes out at 1.3 eV per formula unit. The value obtained for the density of states at the Fermi level is 13.42 states/eV/f.u. The distance to the lowest polymorph of the same formula comes out at 4.91 eV per formula unit.